1.
VASP calculation (PBE) on a geometry-optimized La3Nd8Tm2 structure.

```
data_La3Nd8Tm2
_symmetry_space_group_name_H-M 'C 1 2/m 1'
_symmetry_Int_Tables_number 12
_cell_length_a 13.417
_cell_length_b 11.912
_cell_length_c 6.250
_cell_angle_alpha 90.00
_cell_angle_beta 112.82
_cell_angle_gamma 90.00
loop_
_symmetry_equiv_pos_as_xyz
'x,y,z'
'-x,-y,-z'
'-x,y,-z'
'x,-y,z'
'x+1/2,y+1/2,z'
'-x+1/2,-y+1/2,-z'
'-x+1/2,y+1/2,-z'
'x+1/2,-y+1/2,z'
loop_
_atom_site_label
_atom_site_fract_x
_atom_site_fract_y
_atom_site_fract_z
La1 0.000 0.000 0.000
La2 0.000 0.239 0.500
Nd1 0.058 0.500 0.290
Nd2 0.159 0.000 0.546
Nd3 0.176 0.256 0.177
Tm1 0.210 0.500 0.865
```

## Properties
Formation enthalpy at 0 K in eV/atom: 0.142
Crystal system: monoclinic
Energy above the most stable polymorph in this dataset in meV/atom: 0.0
Spin magnetization in μB per cell: 0.00

2.
VASP calculation (PBE) on a geometry-optimized Sm2SnRu structure.

```
data_Sm2SnRu
_symmetry_space_group_name_H-M 'F m -3 m'
_symmetry_Int_Tables_number 225
_symmetry_space_group_name_Hall '-F 4 2 3'
_cell_length_a 7.325
_cell_length_b 7.325
_cell_length_c 7.325
_cell_angle_alpha 90.00
_cell_angle_beta 90.00
_cell_angle_gamma 90.00
loop_
_atom_site_label
_atom_site_fract_x
_atom_site_fract_y
_atom_site_fract_z
Sm1 0.250 0.250 0.250
Sn1 0.000 0.000 0.000
Ru1 0.000 0.000 0.500
```

## Properties
Formation enthalpy at 0 K in eV/atom: -0.329
Crystal system: cubic
Energy above the most stable polymorph in this dataset in meV/atom: 129.2
Spin magnetization in μB per cell: 0.00

3.
VASP calculation (PBE) on a geometry-optimized MgTe2Ru structure.

```
data_MgTe2Ru
_symmetry_space_group_name_H-M 'I m m 2'
_symmetry_Int_Tables_number 44
_cell_length_a 3.370
_cell_length_b 4.157
_cell_length_c 12.944
_cell_angle_alpha 90.00
_cell_angle_beta 90.00
_cell_angle_gamma 90.00
loop_
_symmetry_equiv_pos_as_xyz
'x,y,z'
'-x,-y,z'
'-x,y,z'
'x,-y,z'
'x+1/2,y+1/2,z+1/2'
'-x+1/2,-y+1/2,z+1/2'
'-x+1/2,y+1/2,z+1/2'
'x+1/2,-y+1/2,z+1/2'
loop_
_atom_site_label
_atom_site_fract_x
_atom_site_fract_y
_atom_site_fract_z
Mg1 0.000 0.000 0.000
Te1 0.000 0.000 0.385
Te2 0.000 0.500 0.161
Ru1 0.000 0.500 0.721
```

## Properties
Crystal system: orthorhombic
Formation energy from raw total energies in eV per formula unit: -0.188
Spin magnetization in μB per cell: 0.00

4.
VASP calculation (PBE) on a geometry-optimized TeMoSe2S structure.

```
data_TeMoSe2S
_symmetry_space_group_name_H-M 'P 4/m m m'
_symmetry_Int_Tables_number 123
_symmetry_space_group_name_Hall '-P 4 2'
_cell_length_a 4.811
_cell_length_b 4.811
_cell_length_c 5.196
_cell_angle_alpha 90.00
_cell_angle_beta 90.00
_cell_angle_gamma 90.00
loop_
_atom_site_label
_atom_site_fract_x
_atom_site_fract_y
_atom_site_fract_z
Te1 0.000 0.000 0.000
Mo1 0.500 0.500 0.000
Se1 0.000 0.500 0.500
S1 0.000 0.000 0.500
```

## Properties
Crystal system: tetragonal
Formation energy from raw total energies in eV per formula unit: 4.777
Spin magnetization in μB per cell: 3.27

Copy entry 3 word for word.
VASP calculation (PBE) on a geometry-optimized MgTe2Ru structure.

```
data_MgTe2Ru
_symmetry_space_group_name_H-M 'I m m 2'
_symmetry_Int_Tables_number 44
_cell_length_a 3.370
_cell_length_b 4.157
_cell_length_c 12.944
_cell_angle_alpha 90.00
_cell_angle_beta 90.00
_cell_angle_gamma 90.00
loop_
_symmetry_equiv_pos_as_xyz
'x,y,z'
'-x,-y,z'
'-x,y,z'
'x,-y,z'
'x+1/2,y+1/2,z+1/2'
'-x+1/2,-y+1/2,z+1/2'
'-x+1/2,y+1/2,z+1/2'
'x+1/2,-y+1/2,z+1/2'
loop_
_atom_site_label
_atom_site_fract_x
_atom_site_fract_y
_atom_site_fract_z
Mg1 0.000 0.000 0.000
Te1 0.000 0.000 0.385
Te2 0.000 0.500 0.161
Ru1 0.000 0.500 0.721
```

## Properties
Crystal system: orthorhombic
Formation energy from raw total energies in eV per formula unit: -0.188
Spin magnetization in μB per cell: 0.00

> What is the formula in the third record?

MgTe2Ru

> Which value of spin magnetization does entry 4 give?

3.27 μB per cell